Density functional theory data (PBE) for a relaxed structure of UTeSeS.

## Properties
* density of states at the Fermi level: 5.18 states/eV/f.u.

The structure in CIF format:
```
data_UTeSeS
_chemical_formula_sum 'U2 Te2 Se2 S2'
_symmetry_space_group_name_H-M 'C 1 m 1'
_symmetry_Int_Tables_number 8
_symmetry_space_group_name_Hall 'C -2y'
_cell_length_a 7.400
_cell_length_b 4.272
_cell_length_c 8.084
_cell_angle_alpha 90.00
_cell_angle_beta 107.88
_cell_angle_gamma 90.00
loop_
_atom_site_label
_atom_site_type_symbol
_atom_site_fract_x
_atom_site_fract_y
_atom_site_fract_z
_atom_site_occupancy
U1 U 0.000 0.000 0.000 1
Te1 Te 0.374 0.500 0.624 1
Se1 Se 0.398 0.000 0.194 1
S1 S 0.131 0.500 0.893 1
```

Density functional theory data (PBE) for a relaxed structure of CuS2ClO.

## Properties
* density of states at the Fermi level: 6.69 states/eV/f.u.
* energy above the lowest structure with this stoichiometry: 525.5 meV per atom

The structure in CIF format:
```
data_CuS2ClO
_chemical_formula_sum 'Cu1 S2 Cl1 O1'
_symmetry_space_group_name_H-M 'P 4/m m m'
_symmetry_Int_Tables_number 123
_symmetry_space_group_name_Hall '-P 4 2'
_cell_length_a 4.537
_cell_length_b 4.537
_cell_length_c 4.502
_cell_angle_alpha 90.00
_cell_angle_beta 90.00
_cell_angle_gamma 90.00
loop_
_atom_site_label
_atom_site_type_symbol
_atom_site_fract_x
_atom_site_fract_y
_atom_site_fract_z
_atom_site_occupancy
Cu1 Cu 0.000 0.000 0.000 1
S1 S 0.000 0.500 0.000 1
Cl1 Cl 0.000 0.000 0.500 1
O1 O 0.500 0.500 0.500 1
```

Density functional theory data (PBE) for a relaxed structure of In2Hg4SbI5.

The structure in CIF format:
```
data_In2Hg4SbI5
_chemical_formula_sum 'In4 Hg8 Sb2 I10'
_symmetry_space_group_name_H-M 'A m m 2'
_symmetry_Int_Tables_number 38
_symmetry_space_group_name_Hall 'A 2 -2'
_cell_length_a 9.722
_cell_length_b 14.779
_cell_length_c 6.938
_cell_angle_alpha 90.00
_cell_angle_beta 90.00
_cell_angle_gamma 90.00
loop_
_atom_site_label
_atom_site_type_symbol
_atom_site_fract_x
_atom_site_fract_y
_atom_site_fract_z
_atom_site_occupancy
In1 In 0.000 0.196 0.000 1
Hg1 Hg 0.307 0.000 0.413 1
Hg2 Hg 0.500 0.197 0.154 1
Sb1 Sb 0.500 0.000 0.122 1
I1 I 0.000 0.000 0.239 1
I2 I 0.258 0.148 0.697 1
```

Computed total magnetic moment, in the same sequence as the records: 0.11 0.50 0.00 μB/f.u..
Computed ΔE_f (raw), in the same sequence as the records: -0.67 1.10 -0.23 eV/atom.